## CrTePb2 (PBEsol)

Data for a relaxed CrTePb2 crystal.

Values from the calculation:
raw formation energy	1.0	eV/f.u.
density	9.24	g/cm3
magnetic moment	3.7	μB per cell

Unit cell a=3.5838 b=4.2214 c=7.5824 alpha=106.16 beta=103.67 gamma=90.00
Closest atoms and distances in Å follow each position.
Fractional coordinates of all 4 atoms:
Cr 0.0000 0.5000 0.0000  4 Te 2.77
Pb 0.6828 0.6828 0.3656  2 Cr 3.14, 2 Te 3.33, 4 Pb 3.36
Pb 0.3172 0.3172 0.6344  2 Cr 3.14, 2 Te 3.33, 4 Pb 3.36
Te 0.5000 0.0000 0.0000  4 Cr 2.77



## CrTePb2 (PBEsol)

Data for a relaxed CrTePb2 crystal.

Values from the calculation:
raw formation energy	1.7	eV/f.u.
density	9.69	g/cm3
magnetic moment	3.6	μB per cell

Unit cell a=3.2535 b=3.2535 c=9.6203 alpha=90.00 beta=90.00 gamma=90.00
Closest atoms and distances in Å follow each position.
Fractional coordinates of all 4 atoms:
Cr 0.5000 0.5000 0.5000  8 Pb 2.99, 4 Cr 3.25
Pb 0.0000 0.0000 0.6983  4 Cr 2.99, 4 Pb 3.25
Pb 0.0000 0.0000 0.3017  4 Cr 2.99, 4 Pb 3.25
Te 0.5000 0.5000 0.0000  4 Te 3.25



## CrTe2Pb (PBEsol)

Data for a relaxed CrTe2Pb crystal.

Values from the calculation:
raw formation energy	0.8	eV/f.u.
density	8.42	g/cm3
magnetic moment	3.0	μB per cell

Unit cell a=3.3684 b=3.3684 c=8.9377 alpha=90.00 beta=90.00 gamma=90.00
Closest atoms and distances in Å follow each position.
Fractional coordinates of all 4 atoms:
Cr 0.0000 0.0000 0.4713  4 Te 2.69
Pb 0.5000 0.5000 0.7001  4 Cr 3.14, 1 Te 3.30, 4 Pb 3.37
Te 0.0000 0.0000 0.9982  4 Te 3.37, 4 Pb 3.57
Te 0.5000 0.5000 0.3304  4 Cr 2.69



## TlCrPb3 (PBEsol)

Data for a relaxed TlCrPb3 crystal.

Values from the calculation:
density	10.44	g/cm3
magnetic moment	1.8	μB per cell
DFT total energy	-4.6000	eV/atom

Unit cell a=5.1887 b=5.1887 c=5.1887 alpha=90.00 beta=90.00 gamma=90.00
Closest atoms and distances in Å follow each position.
Fractional coordinates of all 5 atoms:
Pb 0.0000 0.5000 0.0000  2 Cr 2.59
Pb 0.0000 0.0000 0.5000  2 Cr 2.59
Pb 0.5000 0.0000 0.0000  2 Cr 2.59
Cr 0.0000 0.0000 0.0000  6 Pb 2.59
Tl 0.5000 0.5000 0.5000  12 Pb 3.67



## CrPbW2 (PBEsol)

Data for a relaxed CrPbW2 crystal.

Values from the calculation:
density	15.35	g/cm3
magnetic moment	0.0	μB per cell
DFT total energy	-9.6215	eV/atom

Unit cell a=2.9826 b=2.9826 c=8.9670 alpha=80.43 beta=80.43 gamma=60.00
Closest atoms and distances in Å follow each position.
Fractional coordinates of all 4 atoms:
Cr 0.5000 0.5000 0.5000  6 W 2.52
Pb 0.0000 0.0000 0.0000  6 Pb 2.98, 6 W 3.09
W 0.2363 0.2363 0.2910  3 Cr 2.52
W 0.7637 0.7637 0.7090  3 Cr 2.52



## CrPb2W (PBEsol)

Data for a relaxed CrPb2W crystal.

Values from the calculation:
density	13.77	g/cm3
magnetic moment	3.3	μB per cell
DFT total energy	-6.9581	eV/atom

Unit cell a=3.8415 b=4.9548 c=5.1770 alpha=118.59 beta=111.78 gamma=90.00
Closest atoms and distances in Å follow each position.
Fractional coordinates of all 4 atoms:
Cr 0.0000 0.5000 0.0000  4 Pb 2.76
Pb 0.7399 0.7399 0.4799  2 Cr 2.76, 2 W 2.88
Pb 0.2601 0.2601 0.5201  2 Cr 2.76, 2 W 2.88
W 0.5000 0.0000 0.0000  8 Pb 2.88-3.17, 4 Cr 3.13